MgMnSb2 | Alexandria | PBE | optimized geometry; N(E_F) = 2.2 states/eV per cell; formation energy from raw total energies = 7 kJ per mole of atoms; V = 22.29 A^3/atom
1.0
3.759 0.000 0.000
0.000 3.759 0.000
0.000 0.000 6.311
Sb Mg Mn
2 1 1
direct
0.000 0.000 0.982
0.000 0.000 0.518
0.500 0.500 0.250
0.500 0.500 0.750



MgMnSb2 | Alexandria | PBE | optimized geometry; N(E_F) = 2.4 states/eV per cell; formation energy from raw total energies = 11 kJ per mole of atoms; V = 22.76 A^3/atom
1.0
5.343 0.013 -0.005
1.091 5.231 0.005
-2.683 -3.278 3.257
Mg Mn Sb
1 1 2
direct
0.750 0.250 0.500
0.250 0.750 0.500
0.480 0.480 0.000
0.020 0.020 0.000



MgMnSb | Alexandria | PBE | optimized geometry; N(E_F) = 3.1 states/eV per cell; formation energy from raw total energies = 13 kJ per mole of atoms; V = 19.14 A^3/atom
1.0
5.259 -0.511 0.000
3.366 4.074 0.000
-4.313 -1.781 2.480
Mn Sb Mg
1 1 1
direct
0.321 0.321 0.000
0.685 0.685 0.000
0.994 0.994 0.000



Mg3MnSb | Alexandria | PBE | optimized geometry; N(E_F) = 7.5 states/eV per cell; formation energy from raw total energies = 74 kJ per mole of atoms; V = 23.85 A^3/atom; relative energy among the computed polymorphs = 0.0687 eV per atom
1.0
-1.071 -2.790 -3.911
4.258 -2.407 0.551
-2.225 -3.263 2.938
Sb Mg Mn
1 3 1
direct
0.500 0.500 0.500
0.000 0.500 0.000
0.500 0.000 0.000
0.000 0.000 0.500
0.000 0.000 0.000



MgMnSb2 | Alexandria | PBE | optimized geometry; N(E_F) = 1.5 states/eV per cell; formation energy from raw total energies = -5 kJ per mole of atoms; V = 23.69 A^3/atom
1.0
4.008 -0.130 0.094
2.104 3.413 0.094
1.880 1.010 6.848
Sb Mg Mn
2 1 1
direct
0.989 0.989 0.034
0.511 0.511 0.466
0.750 0.750 0.750
0.250 0.250 0.250



MgMnSb2 | Alexandria | PBE | optimized geometry; N(E_F) = 2.7 states/eV per cell; formation energy from raw total energies = 4 kJ per mole of atoms; V = 23.67 A^3/atom
1.0
4.046 0.000 0.000
0.000 4.046 0.000
0.000 0.000 5.782
Mn Sb Mg
1 2 1
direct
0.500 0.500 0.842
0.500 0.500 0.341
0.000 0.000 0.903
0.000 0.000 0.414



MgMnSb2Te | Alexandria | PBE | optimized geometry; N(E_F) = 7.8 states/eV per cell; formation energy from raw total energies = 123 kJ per mole of atoms; V = 30.11 A^3/atom; relative energy among the computed polymorphs = 0.9984 eV per atom
1.0
5.288 0.000 0.000
0.000 5.288 0.000
0.000 0.000 5.383
Mn Sb Te Mg
1 2 1 1
direct
0.500 0.500 0.500
0.500 0.000 0.000
0.000 0.500 0.000
0.000 0.000 0.500
0.000 0.000 0.000



MgMnSb2Te | Alexandria | PBE | optimized geometry; N(E_F) = 4.2 states/eV per cell; formation energy from raw total energies = 27 kJ per mole of atoms; V = 27.67 A^3/atom; relative energy among the computed polymorphs = 0.0000 eV per atom
1.0
-3.662 -0.203 3.442
0.595 -4.983 0.339
3.692 0.711 3.970
Te Sb Mn Mg
1 2 1 1
direct
0.000 0.000 0.500
0.000 0.500 0.000
0.500 0.000 0.000
0.000 0.000 0.000
0.500 0.500 0.500



YMg2MnSb | Alexandria | PBE | optimized geometry; N(E_F) = 4.0 states/eV per cell; formation energy from raw total energies = 16 kJ per mole of atoms; V = 22.86 A^3/atom
1.0
4.868 0.000 0.000
0.000 4.824 0.000
0.000 0.000 4.868
Mg Mn Sb Y
2 1 1 1
direct
0.500 0.000 0.000
0.000 0.000 0.500
0.000 0.000 0.000
0.000 0.500 0.000
0.500 0.500 0.500



YMgMn2Sb | Alexandria | PBE | optimized geometry; N(E_F) = 4.7 states/eV per cell; formation energy from raw total energies = 104 kJ per mole of atoms; V = 30.72 A^3/atom
1.0
-3.995 -0.679 3.232
-2.174 -3.947 -3.517
2.650 -3.687 2.500
Y Mg Mn Sb
1 1 2 1
direct
0.000 0.000 0.000
0.500 0.500 0.500
0.000 0.000 0.500
0.500 0.000 0.000
0.000 0.500 0.000



MgSc2Mn | Alexandria | PBE | optimized geometry; N(E_F) = 5.2 states/eV per cell; V = 20.83 A^3/atom; energy of formation from the pure elements = 3.0 kcal/mol of atoms
1.0
-0.438 4.506 1.081
-3.166 -0.289 -0.078
-1.584 -1.457 5.434
Sc Mn Mg
2 1 1
direct
0.000 0.965 0.947
0.500 0.289 0.296
0.500 0.557 0.765
0.000 0.689 0.493



MgSc2Mn | Alexandria | PBE | optimized geometry; N(E_F) = 4.9 states/eV per cell; V = 20.54 A^3/atom; energy of formation from the pure elements = 3.1 kcal/mol of atoms
1.0
5.386 -0.001 0.000
1.958 5.018 0.000
-3.672 -2.508 3.039
Sc Mn Mg
2 1 1
direct
0.000 0.000 0.000
0.250 0.750 0.500
0.750 0.250 0.500
0.500 0.500 0.000